No. 1
Here is Rb2TlAgGe at its PBEsol-relaxed geometry from Alexandria via LeMat-Bulk. Energies are from meta-GGA SCAN.

```
Rb2TlAgGe
1.0
6.644 0.000 0.000
0.000 6.644 0.000
0.000 0.000 4.753
Rb Tl Ag Ge
2 1 1 1
Direct
0.000 0.500 0.000 Rb
0.500 0.000 0.000 Rb
0.000 0.000 0.500 Tl
0.500 0.500 0.500 Ag
0.500 0.500 0.000 Ge
```

## Properties
- E_form (eV/atom) = 0.22
- mass density (g/cm3) = 4.400
- final energy (eV for the cell shown) = -163.173

***

No. 2
Here is Li2AlGa at its PBEsol-relaxed geometry from Alexandria via LeMat-Bulk. Energies are from meta-GGA SCAN.

```
Li2AlGa
1.0
0.000 3.101 3.101
3.101 0.000 3.101
3.101 3.101 0.000
Li Al Ga
2 1 1
Direct
0.000 0.000 0.000 Li
0.250 0.250 0.250 Li
0.500 0.500 0.500 Al
0.750 0.750 0.750 Ga
```

## Properties
- E_form (eV/atom) = -0.30
- mass density (g/cm3) = 3.080
- final energy (eV for the cell shown) = -30.058

***

No. 3
Here is TiMnTe3 at its PBEsol-relaxed geometry from Alexandria via LeMat-Bulk. Energies are from meta-GGA SCAN.

```
TiMnTe3
1.0
5.092 0.000 0.000
0.000 5.092 0.000
0.000 0.000 5.092
Ti Mn Te
1 1 3
Direct
0.000 0.000 0.000 Ti
0.500 0.500 0.500 Mn
0.000 0.500 0.500 Te
0.500 0.000 0.500 Te
0.500 0.500 0.000 Te
```

## Properties
- mass density (g/cm3) = 6.109
- final energy (eV for the cell shown) = -144.789
- energy relative to the elements, uncorrected (eV/f.u.) = 1.250

***

No. 4
Here is RbSr2Ca at its PBEsol-relaxed geometry from Alexandria via LeMat-Bulk. Energies are from meta-GGA SCAN.

```
RbSr2Ca
1.0
0.000 4.757 4.757
4.757 0.000 4.757
4.757 4.757 0.000
Rb Sr Ca
1 2 1
Direct
0.000 0.000 0.000 Rb
0.250 0.250 0.250 Sr
0.750 0.750 0.750 Sr
0.500 0.500 0.500 Ca
```

## Properties
- E_form (eV/atom) = 0.17
- mass density (g/cm3) = 2.320
- final energy (eV for the cell shown) = -74.271

***

No. 5
Here is NpSnIr at its PBEsol-relaxed geometry from Alexandria via LeMat-Bulk. Energies are from meta-GGA SCAN.

```
NpSnIr
1.0
7.287 0.000 0.000
-3.644 6.311 0.000
0.000 0.000 3.958
Np Sn Ir
3 3 3
Direct
0.000 0.413 0.000 Np
0.413 0.000 0.000 Np
0.587 0.587 0.000 Np
0.000 0.745 0.500 Sn
0.255 0.255 0.500 Sn
0.745 0.000 0.500 Sn
0.000 0.000 0.000 Ir
0.333 0.667 0.500 Ir
0.667 0.333 0.500 Ir
```

## Properties
- E_form (eV/atom) = -0.34
- mass density (g/cm3) = 14.997
- final energy (eV for the cell shown) = -645.147

***

No. 6
Here is Nb2CdO6 at its PBEsol-relaxed geometry from Alexandria via LeMat-Bulk. Energies are from meta-GGA SCAN.

```
Nb2CdO6
1.0
14.897 0.000 0.000
0.000 5.907 0.000
0.000 0.000 5.142
Nb Cd O
8 4 24
Direct
0.165 0.182 0.238 Nb
0.165 0.818 0.738 Nb
0.335 0.318 0.738 Nb
0.335 0.682 0.238 Nb
0.665 0.318 0.762 Nb
0.665 0.682 0.262 Nb
0.835 0.182 0.262 Nb
0.835 0.818 0.762 Nb
0.000 0.309 0.750 Cd
0.000 0.691 0.250 Cd
0.500 0.191 0.250 Cd
0.500 0.809 0.750 Cd
0.085 0.384 0.104 O
0.085 0.616 0.604 O
0.103 0.091 0.553 O
0.103 0.909 0.053 O
0.244 0.129 0.912 O
0.244 0.871 0.412 O
0.256 0.371 0.412 O
0.256 0.629 0.912 O
0.397 0.409 0.053 O
0.397 0.591 0.553 O
0.415 0.116 0.604 O
0.415 0.884 0.104 O
0.585 0.116 0.896 O
0.585 0.884 0.396 O
0.603 0.409 0.447 O
0.603 0.591 0.947 O
0.744 0.371 0.088 O
0.744 0.629 0.588 O
0.756 0.129 0.588 O
0.756 0.871 0.088 O
0.897 0.091 0.947 O
0.897 0.909 0.447 O
0.915 0.384 0.396 O
0.915 0.616 0.896 O
```

## Properties
- mass density (g/cm3) = 5.787
- final energy (eV for the cell shown) = -625.450
- energy relative to the elements, uncorrected (eV/f.u.) = -22.301

***

No. 7
Here is TaCuRe3 at its PBEsol-relaxed geometry from Alexandria via LeMat-Bulk. Energies are from meta-GGA SCAN.

```
TaCuRe3
1.0
4.684 0.000 0.000
0.000 4.684 0.000
0.000 0.000 4.684
Ta Cu Re
1 1 3
Direct
0.000 0.000 0.000 Ta
0.500 0.500 0.500 Cu
0.000 0.000 0.500 Re
0.000 0.500 0.000 Re
0.500 0.000 0.000 Re
```

## Properties
- E_form (eV/atom) = 2.68
- mass density (g/cm3) = 12.974
- final energy (eV for the cell shown) = -281.693

***

No. 8
Here is Sc3TeN at its PBEsol-relaxed geometry from Alexandria via LeMat-Bulk. Energies are from meta-GGA SCAN.

```
Sc3TeN
1.0
5.186 0.000 0.000
0.000 5.186 0.000
0.000 0.000 5.186
Sc Te N
3 1 1
Direct
0.000 0.000 0.500 Sc
0.000 0.500 0.000 Sc
0.500 0.000 0.000 Sc
0.000 0.000 0.000 Te
0.500 0.500 0.500 N
```

## Properties
- mass density (g/cm3) = 3.291
- final energy (eV for the cell shown) = -83.601
- energy relative to the elements, uncorrected (eV/f.u.) = 5.653

***

No. 9
Here is Ca2HgP2 at its PBEsol-relaxed geometry from Alexandria via LeMat-Bulk. Energies are from meta-GGA SCAN.

```
Ca2HgP2
1.0
-2.613 2.613 4.592
2.613 -2.613 4.592
2.613 2.613 -4.592
Ca Hg P
2 1 2
Direct
0.250 0.750 0.500 Ca
0.750 0.250 0.500 Ca
0.000 0.000 0.000 Hg
0.378 0.378 0.000 P
0.622 0.622 0.000 P
```

## Properties
- E_form (eV/atom) = -0.78
- mass density (g/cm3) = 4.536
- final energy (eV for the cell shown) = -112.201

***

No. 10
Here is BaCaCl2 at its PBEsol-relaxed geometry from Alexandria via LeMat-Bulk. Energies are from meta-GGA SCAN.

```
BaCaCl2
1.0
0.000 4.006 4.006
4.006 0.000 4.006
4.006 4.006 0.000
Ba Ca Cl
1 1 2
Direct
0.000 0.000 0.000 Ba
0.250 0.250 0.250 Ca
0.500 0.500 0.500 Cl
0.750 0.750 0.750 Cl
```

## Properties
- energy above the lowest structure with this stoichiometry (eV/atom) = 0.937
- mass density (g/cm3) = 3.207
- final energy (eV for the cell shown) = -69.101
- energy relative to the elements, uncorrected (eV/f.u.) = -3.932

***

No. 11
Here is Cd2AsW at its PBEsol-relaxed geometry from Alexandria via LeMat-Bulk. Energies are from meta-GGA SCAN.

```
Cd2AsW
1.0
5.133 0.000 0.000
0.000 5.133 0.000
0.000 0.000 2.828
Cd As W
2 1 1
Direct
0.000 0.500 0.000 Cd
0.500 0.000 0.000 Cd
0.000 0.000 0.500 As
0.500 0.500 0.500 W
```

## Properties
- E_form (eV/atom) = 0.83
- mass density (g/cm3) = 10.778
- final energy (eV for the cell shown) = -147.401

***

No. 12
Here is SrBe2Sb at its PBEsol-relaxed geometry from Alexandria via LeMat-Bulk. Energies are from meta-GGA SCAN.

```
SrBe2Sb
1.0
-2.307 2.307 8.693
2.307 -2.307 8.693
2.307 2.307 -8.693
Sr Be Sb
2 4 2
Direct
0.375 0.625 0.750 Sr
0.625 0.375 0.250 Sr
0.000 0.000 0.000 Be
0.000 0.000 0.500 Be
0.000 0.500 0.000 Be
0.500 0.000 0.500 Be
0.125 0.875 0.250 Sb
0.875 0.125 0.750 Sb
```

## Properties
- mass density (g/cm3) = 4.083
- final energy (eV for the cell shown) = -135.860
- energy relative to the elements, uncorrected (eV/f.u.) = 0.313

***

No. 13
Here is MgRh4 at its PBEsol-relaxed geometry from Alexandria via LeMat-Bulk. Energies are from meta-GGA SCAN.

```
MgRh4
1.0
-3.023 3.023 1.904
3.023 -3.023 1.904
3.023 3.023 -1.904
Mg Rh
1 4
Direct
0.000 0.000 0.000 Mg
0.193 0.600 0.793 Rh
0.400 0.193 0.593 Rh
0.600 0.807 0.407 Rh
0.807 0.400 0.207 Rh
```

## Properties
- E_form (eV/atom) = -0.20
- mass density (g/cm3) = 10.400
- final energy (eV for the cell shown) = -141.055

***

No. 14
Here is LiMn2InW at its PBEsol-relaxed geometry from Alexandria via LeMat-Bulk. Energies are from meta-GGA SCAN.

```
LiMn2InW
1.0
4.755 0.000 0.000
0.000 4.755 0.000
0.000 0.000 4.202
Li Mn In W
1 2 1 1
Direct
0.000 0.000 0.000 Li
0.000 0.500 0.500 Mn
0.500 0.000 0.500 Mn
0.000 0.000 0.500 In
0.500 0.500 0.000 W
```

## Properties
- E_form (eV/atom) = 1.46
- mass density (g/cm3) = 7.262
- final energy (eV for the cell shown) = -134.659

***

No. 15
Here is LiTl3Cu at its PBEsol-relaxed geometry from Alexandria via LeMat-Bulk. Energies are from meta-GGA SCAN.

```
LiTl3Cu
1.0
4.961 0.000 0.000
0.000 4.961 0.000
0.000 0.000 4.961
Li Tl Cu
1 3 1
Direct
0.000 0.000 0.000 Li
0.000 0.000 0.500 Tl
0.000 0.500 0.000 Tl
0.500 0.000 0.000 Tl
0.500 0.500 0.500 Cu
```

## Properties
- E_form (eV/atom) = 0.45
- mass density (g/cm3) = 9.297
- final energy (eV for the cell shown) = -232.421

***

No. 16
Here is CuPbCl2 at its PBEsol-relaxed geometry from Alexandria via LeMat-Bulk. Energies are from meta-GGA SCAN.

```
CuPbCl2
1.0
1.957 -2.922 0.000
1.957 2.922 0.000
0.000 0.000 8.110
Cu Pb Cl
1 1 2
Direct
0.000 0.000 0.000 Cu
0.500 0.500 0.274 Pb
0.000 0.000 0.518 Cl
0.500 0.500 0.883 Cl
```

## Properties
- mass density (g/cm3) = 6.115
- final energy (eV for the cell shown) = -108.628
- energy relative to the elements, uncorrected (eV/f.u.) = -1.692

***

No. 17
Here is CrInCl2 at its PBEsol-relaxed geometry from Alexandria via LeMat-Bulk. Energies are from meta-GGA SCAN.

```
CrInCl2
1.0
0.000 3.495 3.495
3.495 0.000 3.495
3.495 3.495 0.000
Cr In Cl
1 1 2
Direct
0.000 0.000 0.000 Cr
0.750 0.750 0.750 In
0.250 0.250 0.250 Cl
0.500 0.500 0.500 Cl
```

## Properties
- energy above the lowest structure with this stoichiometry (eV/atom) = 0.547
- mass density (g/cm3) = 4.622
- final energy (eV for the cell shown) = -68.751
- energy relative to the elements, uncorrected (eV/f.u.) = -1.024

***

No. 18
Here is Al2Hg at its PBEsol-relaxed geometry from Alexandria via LeMat-Bulk. Energies are from meta-GGA SCAN.

```
Al2Hg
1.0
4.932 -1.526 0.000
4.932 1.526 0.000
-3.506 0.000 7.319
Al Hg
4 2
Direct
0.000 0.000 0.000 Al
0.000 0.000 0.500 Al
0.337 0.337 0.659 Al
0.663 0.663 0.341 Al
0.333 0.333 0.180 Hg
0.667 0.667 0.820 Hg
```

## Properties
- energy above the lowest structure with this stoichiometry (eV/atom) = 0.000
- E_form (eV/atom) = 0.12
- mass density (g/cm3) = 7.674
- final energy (eV for the cell shown) = -166.618

***

No. 19
Here is Li4MgMo at its PBEsol-relaxed geometry from Alexandria via LeMat-Bulk. Energies are from meta-GGA SCAN.

```
Li4MgMo
1.0
0.000 3.646 3.646
3.646 0.000 3.646
3.646 3.646 0.000
Li Mg Mo
4 1 1
Direct
0.376 0.376 0.376 Li
0.376 0.376 0.871 Li
0.376 0.871 0.376 Li
0.871 0.376 0.376 Li
0.000 0.000 0.000 Mg
0.750 0.750 0.750 Mo
```

## Properties
- E_form (eV/atom) = 0.41
- mass density (g/cm3) = 2.535
- final energy (eV for the cell shown) = -46.956

***

No. 20
Here is TiAl3Br at its PBEsol-relaxed geometry from Alexandria via LeMat-Bulk. Energies are from meta-GGA SCAN.

```
TiAl3Br
1.0
5.173 0.000 0.000
0.000 5.173 0.000
0.000 0.000 5.173
Ti Al Br
1 3 1
Direct
0.000 0.000 0.000 Ti
0.000 0.000 0.500 Al
0.000 0.500 0.000 Al
0.500 0.000 0.000 Al
0.500 0.500 0.500 Br
```

## Properties
- mass density (g/cm3) = 2.504
- final energy (eV for the cell shown) = -54.978
- energy relative to the elements, uncorrected (eV/f.u.) = 3.767